Version one
CaHoPd | PBE | optimized geometry

Geometry as extended XYZ:
```
12
Lattice="6.8334 0.0000 0.0000 0.0000 3.9460 0.0000 -2.3111 0.0000 13.4138" Properties=species:S:1:pos:R:3 pbc="T T T"
Ca 0.0000 0.0000 0.0000
Ca -0.0305 0.0000 10.1026
Ca 3.4167 1.9730 0.0000
Ca 3.3862 1.9730 10.1026
Ho -0.0276 0.0000 6.4631
Ho 2.2509 0.0000 3.1207
Ho 3.3891 1.9730 6.4631
Ho 5.6676 1.9730 3.1207
Pd -1.1667 1.9730 8.2060
Pd 1.1111 1.9730 4.6871
Pd 2.2500 0.0000 8.2060
Pd 4.5278 0.0000 4.6871
```

Calculated values
Total moment in μB per atom: 0.00
Theoretical density in g/cm³: 5.72
Crystal system: monoclinic
Space-group type: No. 8

=====

Version two
CaHoPd | PBE | optimized geometry

Geometry as extended XYZ:
```
6
Lattice="3.5571 0.0000 0.0000 0.0000 3.5571 0.0000 0.0000 0.0000 12.8254" Properties=species:S:1:pos:R:3 pbc="T T T"
Ca 0.0000 0.0000 0.0000
Ca 1.7786 1.7786 6.4127
Ho 0.0000 0.0000 3.3926
Ho 1.7786 1.7786 9.8053
Pd 0.0000 0.0000 8.3485
Pd 1.7786 1.7786 1.9358
```

Calculated values
Total moment in μB per atom: 0.00
Theoretical density in g/cm³: 6.37
Crystal system: tetragonal
Space-group type: No. 107

=====

Most stable: version two. Least stable: version one.

=====

Version one
CaHoPd2 | PBE | optimized geometry

Geometry as extended XYZ:
```
16
Lattice="6.9950 0.0000 0.0000 0.0000 6.9950 0.0000 0.0000 0.0000 6.9950" Properties=species:S:1:pos:R:3 pbc="T T T"
Ca 0.0000 0.0000 0.0000
Ca 0.0000 3.4975 3.4975
Ca 3.4975 0.0000 3.4975
Ca 3.4975 3.4975 0.0000
Ho 0.0000 0.0000 3.4975
Ho 0.0000 3.4975 0.0000
Ho 3.4975 0.0000 0.0000
Ho 3.4975 3.4975 3.4975
Pd 1.7488 1.7488 1.7488
Pd 1.7488 1.7488 5.2463
Pd 1.7488 5.2463 1.7488
Pd 1.7488 5.2463 5.2463
Pd 5.2463 1.7488 1.7488
Pd 5.2463 1.7488 5.2463
Pd 5.2463 5.2463 1.7488
Pd 5.2463 5.2463 5.2463
```

Calculated values
Total moment in μB per atom: 0.00
Theoretical density in g/cm³: 8.11
Crystal system: cubic
Space-group type: No. 225

=====

Version two
CaHoPd2 | PBE | optimized geometry

Geometry as extended XYZ:
```
12
Lattice="4.0506 0.0000 0.0000 -2.0253 3.5079 0.0000 0.0000 0.0000 20.7428" Properties=species:S:1:pos:R:3 pbc="T T T"
Ca 0.0000 0.0000 0.0000
Ca 0.0000 2.3386 13.8285
Ca 2.0253 1.1693 6.9142
Ho 0.0000 0.0000 10.3714
Ho 0.0000 2.3386 3.4571
Ho 2.0253 1.1693 17.2856
Pd 0.0000 0.0000 5.0614
Pd 0.0000 0.0000 15.6814
Pd 0.0000 2.3386 8.7671
Pd 0.0000 2.3386 18.8899
Pd 2.0253 1.1693 1.8529
Pd 2.0253 1.1693 11.9756
```

Calculated values
Total moment in μB per atom: 0.00
Theoretical density in g/cm³: 7.06
Crystal system: trigonal
Space-group type: No. 166

=====

Most stable: version one. Least stable: version two.

=====

Version one
CaHoZnPd | PBE | optimized geometry

Geometry as extended XYZ:
```
16
Lattice="7.0841 0.0000 0.0000 0.0000 7.0841 0.0000 0.0000 0.0000 7.0841" Properties=species:S:1:pos:R:3 pbc="T T T"
Ca 0.0000 0.0000 0.0000
Ca 0.0000 3.5421 3.5421
Ca 3.5421 0.0000 3.5421
Ca 3.5421 3.5421 0.0000
Ho 0.0000 0.0000 3.5421
Ho 0.0000 3.5421 0.0000
Ho 3.5421 0.0000 0.0000
Ho 3.5421 3.5421 3.5421
Zn 1.7710 1.7710 5.3131
Zn 1.7710 5.3131 1.7710
Zn 5.3131 1.7710 1.7710
Zn 5.3131 5.3131 5.3131
Pd 1.7710 1.7710 1.7710
Pd 1.7710 5.3131 5.3131
Pd 5.3131 1.7710 5.3131
Pd 5.3131 5.3131 1.7710
```

Calculated values
Total moment in μB per atom: 0.00
Theoretical density in g/cm³: 7.04
Crystal system: cubic
Space-group type: No. 216

=====

Version two
CaHoZnPd | PBE | optimized geometry

Geometry as extended XYZ:
```
4
Lattice="3.5562 0.0000 0.0000 0.0000 3.5562 0.0000 0.0000 0.0000 7.2329" Properties=species:S:1:pos:R:3 pbc="T T T"
Ca 0.0000 0.0000 0.0000
Ho 0.0000 0.0000 3.4805
Zn 1.7781 1.7781 5.2143
Pd 1.7781 1.7781 2.0082
```

Calculated values
Total moment in μB per atom: 0.00
Theoretical density in g/cm³: 6.84
Crystal system: tetragonal
Space-group type: No. 99

=====

Most stable: version two. Least stable: version one.

=====

Version one
CaPm2Ho | PBE | optimized geometry

Geometry as extended XYZ:
```
12
Lattice="3.6416 0.0000 0.0000 -1.8208 3.1537 0.0000 0.0000 0.0000 36.4331" Properties=species:S:1:pos:R:3 pbc="T T T"
Ca 0.0000 0.0000 0.0000
Ca 0.0000 2.1025 24.2888
Ca 1.8208 1.0512 12.1444
Pm 0.0000 0.0000 8.9275
Pm 0.0000 0.0000 27.5056
Pm 0.0000 2.1025 15.3612
Pm 0.0000 2.1025 33.2162
Pm 1.8208 1.0512 3.2169
Pm 1.8208 1.0512 21.0719
Ho 0.0000 0.0000 18.2166
Ho 0.0000 2.1025 6.0722
Ho 1.8208 1.0512 30.3609
```

Calculated values
Total moment in μB per atom: 0.00
Theoretical density in g/cm³: 5.89
Crystal system: trigonal
Space-group type: No. 166

=====

Version two
CaPm2Ho | PBE | optimized geometry

Geometry as extended XYZ:
```
4
Lattice="5.2237 0.0000 0.0000 0.0000 5.2237 0.0000 0.0000 0.0000 5.0487" Properties=species:S:1:pos:R:3 pbc="T T T"
Ca 0.0000 0.0000 0.0000
Pm 0.0000 2.6119 2.5243
Pm 2.6119 0.0000 2.5243
Ho 2.6119 2.6119 0.0000
```

Calculated values
Total moment in μB per atom: 0.00
Theoretical density in g/cm³: 5.97
Crystal system: tetragonal
Space-group type: No. 123

=====

Version three
CaPm2Ho | PBE | optimized geometry

Geometry as extended XYZ:
```
16
Lattice="8.2264 0.0000 0.0000 0.0000 8.2264 0.0000 0.0000 0.0000 8.2264" Properties=species:S:1:pos:R:3 pbc="T T T"
Ca 0.0000 0.0000 0.0000
Ca 0.0000 4.1132 4.1132
Ca 4.1132 0.0000 4.1132
Ca 4.1132 4.1132 0.0000
Pm 2.0566 2.0566 2.0566
Pm 2.0566 2.0566 6.1698
Pm 2.0566 6.1698 2.0566
Pm 2.0566 6.1698 6.1698
Pm 6.1698 2.0566 2.0566
Pm 6.1698 2.0566 6.1698
Pm 6.1698 6.1698 2.0566
Pm 6.1698 6.1698 6.1698
Ho 0.0000 0.0000 4.1132
Ho 0.0000 4.1132 0.0000
Ho 4.1132 0.0000 0.0000
Ho 4.1132 4.1132 4.1132
```

Calculated values
Total moment in μB per atom: 0.00
Theoretical density in g/cm³: 5.91
Crystal system: cubic
Space-group type: No. 225

=====

Version four
CaPm2Ho | PBE | optimized geometry

Geometry as extended XYZ:
```
12
Lattice="3.5860 0.0000 0.0000 -1.7930 3.1056 0.0000 0.0000 0.0000 38.3418" Properties=species:S:1:pos:R:3 pbc="T T T"
Ca 0.0000 0.0000 0.0000
Ca 0.0000 2.0704 25.5612
Ca 1.7930 1.0352 12.7806
Pm 0.0000 0.0000 3.5217
Pm 0.0000 0.0000 34.8201
Pm 0.0000 2.0704 22.0395
Pm 0.0000 2.0704 29.0829
Pm 1.7930 1.0352 9.2589
Pm 1.7930 1.0352 16.3023
Ho 0.0000 0.0000 19.1709
Ho 0.0000 2.0704 6.3903
Ho 1.7930 1.0352 31.9515
```

Calculated values
Total moment in μB per atom: 0.00
Theoretical density in g/cm³: 5.78
Crystal system: trigonal
Space-group type: No. 166

=====

Most stable: version one. Least stable: version four.

=====

Version one
CaPmHo | PBE | optimized geometry

Geometry as extended XYZ:
```
3
Lattice="3.6488 0.0000 0.0000 -1.8244 3.1600 0.0000 0.0000 0.0000 9.1238" Properties=species:S:1:pos:R:3 pbc="T T T"
Ca 0.0000 0.0000 0.0000
Pm 1.8244 1.0533 3.2241
Ho 0.0000 2.1067 6.0060
```

Calculated values
Total moment in μB per atom: 0.00
Theoretical density in g/cm³: 5.52
Crystal system: trigonal
Space-group type: No. 156

=====

Version two
CaPmHo | PBE | optimized geometry

Geometry as extended XYZ:
```
12
Lattice="21.3761 0.0000 0.0000 0.0000 3.5966 0.0000 -0.0128 0.0000 5.5898" Properties=species:S:1:pos:R:3 pbc="T T T"
Ca 4.3607 0.0000 1.3971
Ca 6.3146 1.7983 4.1927
Ca 15.0487 1.7983 1.3971
Ca 17.0026 0.0000 4.1927
Pm 2.2325 1.7983 4.1977
Pm 8.4428 0.0000 1.3921
Pm 12.9205 0.0000 4.1977
Pm 19.1308 1.7983 1.3921
Ho 0.8429 0.0000 1.4009
Ho 9.8323 1.7983 4.1889
Ho 11.5310 1.7983 1.4009
Ho 20.5203 0.0000 4.1889
```

Calculated values
Total moment in μB per atom: 0.00
Theoretical density in g/cm³: 5.41
Crystal system: monoclinic
Space-group type: No. 12

=====

Version three
CaPmHo | PBE | optimized geometry

Geometry as extended XYZ:
```
12
Lattice="32.3639 0.0000 0.0000 0.0000 3.6197 0.0000 -0.0018 0.0000 3.6741" Properties=species:S:1:pos:R:3 pbc="T T T"
Ca 1.6589 0.0000 0.9152
Ca 14.5212 1.8099 2.7589
Ca 17.8409 1.8099 0.9152
Ca 30.7032 0.0000 2.7589
Pm 6.7675 0.0000 0.9168
Pm 9.4126 1.8099 2.7573
Pm 22.9494 1.8099 0.9168
Pm 25.5946 0.0000 2.7573
Ho 4.3591 1.8099 2.7522
Ho 11.8211 0.0000 0.9219
Ho 20.5410 0.0000 2.7522
Ho 28.0030 1.8099 0.9219
```

Calculated values
Total moment in μB per atom: 0.00
Theoretical density in g/cm³: 5.40
Crystal system: monoclinic
Space-group type: No. 12

=====

Most stable: version two. Least stable: version three.

=====

Version one
CaPmHo | PBE | optimized geometry

Geometry as extended XYZ:
```
6
Lattice="4.9470 0.0000 0.0000 0.0000 4.9470 0.0000 0.0000 0.0000 8.9586" Properties=species:S:1:pos:R:3 pbc="T T T"
Ca 1.2367 1.2367 1.5501
Ca 3.7102 3.7102 7.4085
Pm 1.2367 3.7102 4.4793
Pm 3.7102 1.2367 4.4793
Ho 1.2367 1.2367 6.9805
Ho 3.7102 3.7102 1.9781
```

Calculated values
Total moment in μB per atom: 0.00
Theoretical density in g/cm³: 5.30
Crystal system: tetragonal
Space-group type: No. 129

=====

Version two
CaPmHo | PBE | optimized geometry

Geometry as extended XYZ:
```
6
Lattice="3.6662 0.0000 0.0000 0.0000 3.6662 0.0000 0.0000 0.0000 15.6603" Properties=species:S:1:pos:R:3 pbc="T T T"
Ca 0.0000 0.0000 0.0000
Ca 1.8331 1.8331 7.8302
Pm 0.0000 0.0000 5.0411
Pm 1.8331 1.8331 12.8713
Ho 0.0000 0.0000 10.5466
Ho 1.8331 1.8331 2.7164
```

Calculated values
Total moment in μB per atom: 0.00
Theoretical density in g/cm³: 5.52
Crystal system: tetragonal
Space-group type: No. 107

=====

Most stable: version two. Least stable: version one.

=====

Version one
Ca2Pm2Ho | PBE | optimized geometry

Geometry as extended XYZ:
```
5
Lattice="3.6751 0.0000 0.0000 -1.8376 3.1827 0.0000 0.0000 0.0000 15.4410" Properties=species:S:1:pos:R:3 pbc="T T T"
Ca 0.0000 2.1218 1.6560
Ca 1.8376 1.0609 13.7851
Pm 0.0000 2.1218 10.5622
Pm 1.8376 1.0609 4.8788
Ho 0.0000 0.0000 7.7205
```

Calculated values
Total moment in μB per atom: 0.00
Theoretical density in g/cm³: 4.92
Crystal system: trigonal
Space-group type: No. 164

=====

Version two
Ca2Pm2Ho | PBE | optimized geometry

Geometry as extended XYZ:
```
10
Lattice="4.6042 0.0000 0.0000 0.0000 4.6042 0.0000 0.0000 0.0000 17.5505" Properties=species:S:1:pos:R:3 pbc="T T T"
Ca 0.0000 2.3021 4.3876
Ca 0.0000 2.3021 13.1629
Ca 2.3021 0.0000 4.3876
Ca 2.3021 0.0000 13.1629
Pm 0.0000 0.0000 1.5485
Pm 0.0000 0.0000 16.0020
Pm 2.3021 2.3021 7.2267
Pm 2.3021 2.3021 10.3238
Ho 0.0000 0.0000 8.7752
Ho 2.3021 2.3021 0.0000
```

Calculated values
Total moment in μB per atom: 0.00
Theoretical density in g/cm³: 4.78
Crystal system: tetragonal
Space-group type: No. 139

=====

Most stable: version one. Least stable: version two.

=====

Version one
Ca2Pm4Ho | PBE | optimized geometry

Geometry as extended XYZ:
```
14
Lattice="3.5753 0.0000 0.0000 0.0000 5.9041 0.0000 0.0000 0.0000 23.7265" Properties=species:S:1:pos:R:3 pbc="T T T"
Ca 0.0000 0.0000 5.2424
Ca 0.0000 0.0000 18.4841
Ca 1.7877 2.9521 6.6209
Ca 1.7877 2.9521 17.1056
Pm 0.0000 2.9521 3.0666
Pm 0.0000 2.9521 9.9724
Pm 0.0000 2.9521 13.7541
Pm 0.0000 2.9521 20.6599
Pm 1.7877 0.0000 1.8908
Pm 1.7877 0.0000 8.7967
Pm 1.7877 0.0000 14.9298
Pm 1.7877 0.0000 21.8357
Ho 0.0000 0.0000 11.8632
Ho 1.7877 2.9521 0.0000
```

Calculated values
Total moment in μB per atom: 0.00
Theoretical density in g/cm³: 5.47
Crystal system: orthorhombic
Space-group type: No. 71

=====

Version two
Ca2Pm4Ho | PBE | optimized geometry

Geometry as extended XYZ:
```
14
Lattice="5.7346 0.0000 0.0000 0.0000 5.7346 0.0000 0.0000 0.0000 17.9236" Properties=species:S:1:pos:R:3 pbc="T T T"
Ca 0.0000 0.0000 2.2814
Ca 0.0000 0.0000 15.6421
Ca 2.8673 2.8673 6.6804
Ca 2.8673 2.8673 11.2432
Pm 0.0000 0.0000 5.8840
Pm 0.0000 0.0000 12.0395
Pm 0.0000 2.8673 0.0000
Pm 0.0000 2.8673 8.9618
Pm 2.8673 0.0000 0.0000
Pm 2.8673 0.0000 8.9618
Pm 2.8673 2.8673 3.0777
Pm 2.8673 2.8673 14.8458
Ho 0.0000 0.0000 8.9618
Ho 2.8673 2.8673 0.0000
```

Calculated values
Total moment in μB per atom: 0.07
Theoretical density in g/cm³: 4.65
Crystal system: tetragonal
Space-group type: No. 139

=====

Most stable: version one. Least stable: version two.